1.
LiHgRu: optimized geometry, GGA-PBE.

Geometry as CIF:
```
data_LiHgRu
_chemical_formula_sum 'Li2 Hg2 Ru2'
_space_group_name_H-M_alt 'I m m 2'
_space_group_IT_number 44
_cell_length_a 2.702
_cell_length_b 4.246
_cell_length_c 8.525
_cell_angle_alpha 90.00
_cell_angle_beta 90.00
_cell_angle_gamma 90.00
loop_
_space_group_symop_operation_xyz
'x,y,z'
'-x,-y,z'
'-x,y,z'
'x,-y,z'
'x+1/2,y+1/2,z+1/2'
'-x+1/2,-y+1/2,z+1/2'
'-x+1/2,y+1/2,z+1/2'
'x+1/2,-y+1/2,z+1/2'
loop_
_atom_site_label
_atom_site_type_symbol
_atom_site_fract_x
_atom_site_fract_y
_atom_site_fract_z
_atom_site_occupancy
Li1 Li 0.000 0.000 0.000 1
Hg1 Hg 0.000 0.000 0.331 1
Ru1 Ru 0.000 0.000 0.662 1
```

Output
Polymorph energy (0 for the lowest one)   0.000 eV per atom
Volume   16.30 A^3/atom
Total DFT energy (no corrections)   -0.12904 hartree per atom
Calculated formation energy   0.319 eV per atom

=====

2.
SrPr2Ho3Te6: optimized geometry, GGA-PBE.

Geometry as CIF:
```
data_SrPr2Ho3Te6
_chemical_formula_sum 'Sr2 Pr4 Ho6 Te12'
_space_group_name_H-M_alt 'C 1 2/m 1'
_space_group_IT_number 12
_cell_length_a 19.572
_cell_length_b 4.426
_cell_length_c 9.009
_cell_angle_alpha 90.00
_cell_angle_beta 104.55
_cell_angle_gamma 90.00
loop_
_space_group_symop_operation_xyz
'x,y,z'
'-x,-y,-z'
'-x,y,-z'
'x,-y,z'
'x+1/2,y+1/2,z'
'-x+1/2,-y+1/2,-z'
'-x+1/2,y+1/2,-z'
'x+1/2,-y+1/2,z'
loop_
_atom_site_label
_atom_site_type_symbol
_atom_site_fract_x
_atom_site_fract_y
_atom_site_fract_z
_atom_site_occupancy
Sr1 Sr 0.000 0.000 0.000 1
Pr1 Pr 0.174 0.500 0.347 1
Ho1 Ho 0.000 0.000 0.500 1
Ho2 Ho 0.167 0.500 0.826 1
Te1 Te 0.001 0.500 0.738 1
Te2 Te 0.160 0.000 0.592 1
Te3 Te 0.171 0.000 0.075 1
```

Output
Raw formation energy   -1.393 eV per atom
Volume   31.47 A^3/atom
Total DFT energy (no corrections)   -0.18539 hartree per atom

=====

3.
Sm3FeBi: optimized geometry, GGA-PBE.

Geometry as CIF:
```
data_Sm3FeBi
_chemical_formula_sum 'Sm3 Fe1 Bi1'
_space_group_name_H-M_alt 'P m -3 m'
_space_group_IT_number 221
_space_group_name_Hall '-P 4 2 3'
_cell_length_a 5.215
_cell_length_b 5.215
_cell_length_c 5.215
_cell_angle_alpha 90.00
_cell_angle_beta 90.00
_cell_angle_gamma 90.00
loop_
_atom_site_label
_atom_site_type_symbol
_atom_site_fract_x
_atom_site_fract_y
_atom_site_fract_z
_atom_site_occupancy
Sm1 Sm 0.000 0.000 0.500 1
Fe1 Fe 0.000 0.000 0.000 1
Bi1 Bi 0.500 0.500 0.500 1
```

Output
Volume   28.37 A^3/atom
Total DFT energy (no corrections)   -0.20253 hartree per atom
Calculated formation energy   -0.211 eV per atom

=====

4.
ReIBr3: optimized geometry, GGA-PBE.

Geometry as CIF:
```
data_ReIBr3
_chemical_formula_sum 'Re1 I1 Br3'
_space_group_name_H-M_alt 'P m -3 m'
_space_group_IT_number 221
_space_group_name_Hall '-P 4 2 3'
_cell_length_a 5.166
_cell_length_b 5.166
_cell_length_c 5.166
_cell_angle_alpha 90.00
_cell_angle_beta 90.00
_cell_angle_gamma 90.00
loop_
_atom_site_label
_atom_site_type_symbol
_atom_site_fract_x
_atom_site_fract_y
_atom_site_fract_z
_atom_site_occupancy
Re1 Re 0.000 0.000 0.000 1
I1 I 0.500 0.500 0.500 1
Br1 Br 0.000 0.000 0.500 1
```

Output
Raw formation energy   0.460 eV per atom
Polymorph energy (0 for the lowest one)   0.550 eV per atom
Volume   27.57 A^3/atom
Total DFT energy (no corrections)   -0.12285 hartree per atom

=====

Please write out number 3 again, unchanged.
Sm3FeBi: optimized geometry, GGA-PBE.

Geometry as CIF:
```
data_Sm3FeBi
_chemical_formula_sum 'Sm3 Fe1 Bi1'
_space_group_name_H-M_alt 'P m -3 m'
_space_group_IT_number 221
_space_group_name_Hall '-P 4 2 3'
_cell_length_a 5.215
_cell_length_b 5.215
_cell_length_c 5.215
_cell_angle_alpha 90.00
_cell_angle_beta 90.00
_cell_angle_gamma 90.00
loop_
_atom_site_label
_atom_site_type_symbol
_atom_site_fract_x
_atom_site_fract_y
_atom_site_fract_z
_atom_site_occupancy
Sm1 Sm 0.000 0.000 0.500 1
Fe1 Fe 0.000 0.000 0.000 1
Bi1 Bi 0.500 0.500 0.500 1
```

Output
Volume   28.37 A^3/atom
Total DFT energy (no corrections)   -0.20253 hartree per atom
Calculated formation energy   -0.211 eV per atom